Na2SnPb8: relaxed, PBE-GGA.

Formation energy from the elements (kcal/mol of atoms): 1.0
Excess energy over the best structure of this formula in the dataset (eV/atom): 0.109
Density (g cm⁻³): 8.25

Structure (POSCAR):
```
Na2SnPb8
1.0
7.089 -4.510 0.000
7.089 4.510 0.000
-1.422 0.000 5.736
Na Sn Pb
2 1 8
direct
0.127 0.127 0.016
0.873 0.873 0.984
0.000 0.000 0.500
0.229 0.640 0.712
0.237 0.237 0.578
0.360 0.771 0.288
0.368 0.368 0.182
0.632 0.632 0.818
0.640 0.229 0.712
0.763 0.763 0.422
0.771 0.360 0.288
```



NaSn2Pb5: relaxed, PBE-GGA.

Formation energy from the elements (kcal/mol of atoms): 0.5
Excess energy over the best structure of this formula in the dataset (eV/atom): 0.019
Density (g cm⁻³): 8.83

Structure (POSCAR):
```
NaSn2Pb5
1.0
-4.287 4.287 6.628
4.287 -4.287 6.628
4.287 4.287 -6.628
Na Sn Pb
2 4 10
direct
0.250 0.250 0.000
0.750 0.750 0.000
0.140 0.640 0.781
0.360 0.140 0.500
0.640 0.860 0.500
0.860 0.360 0.219
0.000 0.000 0.000
0.015 0.807 0.500
0.193 0.693 0.209
0.307 0.515 0.500
0.485 0.985 0.791
0.500 0.500 0.000
0.515 0.015 0.209
0.693 0.485 0.500
0.807 0.307 0.791
0.985 0.193 0.500
```



Na6Sn2Pb: relaxed, PBE-GGA.

Formation energy from the elements (kcal/mol of atoms): -3.6
Excess energy over the best structure of this formula in the dataset (eV/atom): 0.000
Density (g cm⁻³): 3.95

Structure (POSCAR):
```
Na6Sn2Pb
1.0
4.642 2.680 3.282
-4.642 2.680 3.282
0.000 -5.360 3.282
Na Sn Pb
6 2 1
direct
0.000 0.333 0.667
0.000 0.667 0.333
0.333 0.000 0.667
0.333 0.667 0.000
0.667 0.000 0.333
0.667 0.333 0.000
0.163 0.163 0.163
0.837 0.837 0.837
0.500 0.500 0.500
```



NaSn6Pb: relaxed, PBE-GGA.

Formation energy from the elements (kcal/mol of atoms): -1.2
Excess energy over the best structure of this formula in the dataset (eV/atom): 0.000
Density (g cm⁻³): 7.01

Structure (POSCAR):
```
NaSn6Pb
1.0
3.189 -5.521 0.000
3.189 5.521 0.000
-0.008 0.000 6.345
Na Sn Pb
1 6 1
direct
0.000 0.000 0.000
0.000 0.500 0.247
0.000 0.500 0.753
0.500 0.000 0.247
0.500 0.000 0.753
0.500 0.500 0.247
0.500 0.500 0.753
0.000 0.000 0.500
```



Na3SnPb3: relaxed, PBE-GGA.

Formation energy from the elements (kcal/mol of atoms): -2.1
Excess energy over the best structure of this formula in the dataset (eV/atom): 0.031
Density (g cm⁻³): 6.44

Structure (POSCAR):
```
Na3SnPb3
1.0
4.590 2.650 5.719
-4.590 2.650 5.719
0.000 -5.300 5.719
Na Sn Pb
6 2 6
direct
0.165 0.615 0.460
0.385 0.540 0.835
0.460 0.165 0.615
0.540 0.835 0.385
0.615 0.460 0.165
0.835 0.385 0.540
0.237 0.237 0.237
0.763 0.763 0.763
0.046 0.317 0.885
0.115 0.954 0.683
0.317 0.885 0.046
0.683 0.115 0.954
0.885 0.046 0.317
0.954 0.683 0.115
```



Na3Sn2Pb: relaxed, PBE-GGA.

Formation energy from the elements (kcal/mol of atoms): -3.1
Density (g cm⁻³): 4.99

Structure (POSCAR):
```
Na3Sn2Pb
1.0
8.192 0.000 0.000
0.000 10.210 0.000
-7.747 0.000 8.181
Na Sn Pb
12 8 4
direct
0.082 0.092 0.179
0.082 0.408 0.679
0.085 0.078 0.657
0.085 0.422 0.157
0.414 0.098 0.089
0.414 0.402 0.589
0.586 0.598 0.411
0.586 0.902 0.911
0.915 0.578 0.843
0.915 0.922 0.343
0.918 0.592 0.321
0.918 0.908 0.821
0.099 0.730 0.675
0.099 0.770 0.175
0.438 0.075 0.591
0.438 0.425 0.091
0.562 0.575 0.909
0.562 0.925 0.409
0.901 0.230 0.825
0.901 0.270 0.325
0.407 0.746 0.073
0.407 0.754 0.573
0.593 0.246 0.427
0.593 0.254 0.927
```



Na2SnPb3: relaxed, PBE-GGA.

Formation energy from the elements (kcal/mol of atoms): -2.7
Excess energy over the best structure of this formula in the dataset (eV/atom): 0.000
Density (g cm⁻³): 7.28

Structure (POSCAR):
```
Na2SnPb3
1.0
4.653 0.000 0.000
0.000 10.907 0.000
0.000 0.000 7.072
Na Sn Pb
4 2 6
direct
0.250 0.085 0.131
0.250 0.415 0.131
0.750 0.585 0.869
0.750 0.915 0.869
0.250 0.750 0.131
0.750 0.250 0.869
0.250 0.090 0.641
0.250 0.410 0.641
0.250 0.750 0.600
0.750 0.250 0.400
0.750 0.590 0.359
0.750 0.910 0.359
```



NaSnPb2: relaxed, PBE-GGA.

Formation energy from the elements (kcal/mol of atoms): -1.1
Density (g cm⁻³): 7.83

Structure (POSCAR):
```
NaSnPb2
1.0
3.356 -5.588 0.000
3.356 5.588 0.000
-1.502 0.000 3.143
Na Sn Pb
1 1 2
direct
0.000 0.000 0.000
0.500 0.500 0.000
0.000 0.500 0.500
0.500 0.000 0.500
```